[1]
4
Lattice="-1.696 -2.939 -2.629 2.449 -1.881 -2.982 1.338 -4.878 1.086" Properties=species:S:1:pos:R:3 comment="NpNiPt2, relaxed, DFT GGA-PBE" total_magnetization_mub_per_fu=3.211 spacegroup="No. 166" formation_energy_ev_per_fu=-1.4 pbc="T T T"
Pt 0.421 -2.117 -1.409
Pt 1.671 -7.581 -3.116
Np 1.046 -4.849 -2.263
Ni 0.000 0.000 0.000



[2]
4
Lattice="4.440 0.000 0.000 2.220 3.845 0.000 2.220 1.282 3.625" Properties=species:S:1:pos:R:3 comment="NpNi2Pt, relaxed, DFT GGA-PBE" total_magnetization_mub_per_fu=3.119 spacegroup="No. 225" formation_energy_ev_per_fu=-0.8 e_above_lowest_polymorph_mev_per_atom=28.6 pbc="T T T"
Np 0.000 0.000 0.000
Pt 4.440 2.563 1.813
Ni 2.220 1.282 0.906
Ni 6.660 3.845 2.719



[3]
7
Lattice="4.563 0.004 2.445 2.126 4.664 1.518 0.086 -0.338 5.334" Properties=species:S:1:pos:R:3 comment="NpNi2Pt4, relaxed, DFT GGA-PBE" total_magnetization_mub_per_fu=1.627 spacegroup="No. 12" formation_energy_ev_per_fu=-2.2 e_above_lowest_polymorph_mev_per_atom=0.0 pbc="T T T"
Pt 1.384 -0.136 2.905
Np 6.775 4.330 9.296
Pt 5.392 4.466 6.391
Pt 4.558 2.420 7.952
Ni 2.247 2.164 4.037
Pt 2.218 1.910 1.344
Ni 4.529 2.166 5.259



[4]
4
Lattice="3.825 0.000 0.000 0.000 4.038 0.000 0.000 0.000 4.038" Properties=species:S:1:pos:R:3 comment="NpNi2Pt, relaxed, DFT GGA-PBE" total_magnetization_mub_per_fu=3.208 spacegroup="No. 123" formation_energy_ev_per_fu=-0.9 e_above_lowest_polymorph_mev_per_atom=0.0 pbc="T T T"
Ni 0.000 0.000 2.019
Pt 1.913 0.000 0.000
Ni 0.000 2.019 0.000
Np 1.913 2.019 2.019



[5]
19
Lattice="-6.708 0.266 1.171 2.804 -2.115 5.840 1.992 6.473 -0.758" Properties=species:S:1:pos:R:3 comment="NpNi12Pt6, relaxed, DFT GGA-PBE" total_magnetization_mub_per_fu=4.099 spacegroup="No. 166" formation_energy_ev_per_fu=2.4 pbc="T T T"
Ni -4.362 -0.118 3.882
Pt 1.312 3.129 3.911
Ni 2.450 4.742 2.371
Ni -2.874 3.142 4.444
Ni -1.114 0.000 2.270
Ni -0.798 4.624 3.983
Pt -2.445 4.069 2.067
Ni -1.274 5.673 0.544
Ni -0.638 -1.050 5.709
Ni -1.308 2.049 0.695
Ni -0.604 2.574 5.558
Ni 0.962 1.481 1.809
Pt 0.212 3.946 1.580
Np 0.000 0.000 0.000
Ni 2.768 1.380 4.954
Pt -3.224 1.494 2.342
Pt 0.533 0.554 4.186
Pt -2.124 0.677 4.673
Ni -4.680 3.243 1.299



[6]
12
Lattice="5.121 0.000 0.000 0.000 6.140 -0.023 0.000 0.296 6.133" Properties=species:S:1:pos:R:3 comment="NpNi2Pt3, relaxed, DFT GGA-PBE" total_magnetization_mub_per_fu=1.934 spacegroup="No. 63" formation_energy_ev_per_fu=-1.5 pbc="T T T"
Ni 0.000 4.824 4.580
Ni 2.560 4.824 4.580
Pt 3.840 2.850 5.499
Pt 1.280 5.639 2.561
Np 3.840 4.116 2.109
Pt 3.840 5.951 0.176
Ni 2.560 1.611 1.530
Np 1.280 2.319 4.001
Ni 0.000 1.611 1.530
Pt 1.280 0.484 5.934
Pt 1.280 3.585 0.611
Pt 3.840 0.796 3.549



[7]
8
Lattice="3.798 0.000 0.000 1.899 5.893 -0.100 1.899 0.985 5.811" Properties=species:S:1:pos:R:3 comment="NpNi2Pt5, relaxed, DFT GGA-PBE" total_magnetization_mub_per_fu=2.248 spacegroup="No. 71" formation_energy_ev_per_fu=-1.7 pbc="T T T"
Pt 1.899 3.439 2.856
Pt 3.798 3.273 0.886
Ni 5.697 5.442 4.519
Pt 3.798 3.605 4.825
Ni 1.899 1.436 1.193
Pt 3.798 5.405 2.657
Pt 3.798 1.473 3.054
Np 0.000 0.000 0.000



[8]
18
Lattice="-0.983 -3.782 -4.843 5.674 -2.556 0.016 -1.550 -4.988 3.382" Properties=species:S:1:pos:R:3 comment="Np2Si3Ni12Pt, relaxed, DFT GGA-PBE" total_magnetization_mub_per_fu=3.034 spacegroup="No. 166" e_form_raw_ev_per_atom=-0.037 pbc="T T T"
Ni -0.210 -7.859 -1.167
Ni 2.526 -4.949 1.845
Ni 0.293 -7.062 1.381
Ni 0.147 -4.057 -2.616
Ni -0.125 -4.638 1.342
Ni 3.267 -6.688 -2.787
Ni -1.254 -5.646 -0.914
Si -0.775 -2.494 1.691
Si -0.491 -1.891 -2.422
Pt 0.000 0.000 0.000
Ni 0.615 -6.377 -3.290
Si 2.837 -1.278 0.008
Np 1.881 -6.784 -0.865
Np 1.260 -4.542 -0.579
Ni 2.848 -4.264 -2.826
Ni 4.395 -5.680 -0.530
Ni 2.994 -7.269 1.172
Ni 3.351 -3.467 -0.277



[9]
10
Lattice="-0.747 -1.935 -3.583 0.588 -3.656 1.852 -9.906 -0.430 2.296" Properties=species:S:1:pos:R:3 comment="Np2Si3NiPt4, relaxed, DFT GGA-PBE" total_magnetization_mub_per_fu=7.711 spacegroup="No. 115" e_form_raw_ev_per_atom=-0.652 pbc="T T T"
Pt -0.079 -2.795 -0.866
Si -1.021 -1.885 1.231
Np -7.012 -2.145 2.619
Si -8.965 -1.340 0.200
Np -2.974 -1.080 -1.189
Ni -5.032 -3.010 0.282
Pt -6.675 -1.241 -0.331
Si -4.953 -0.215 1.148
Pt 0.000 0.000 0.000
Pt -3.311 -1.984 1.761



[10]
10
Lattice="4.164 0.000 0.000 0.000 4.164 0.000 0.000 0.000 9.844" Properties=species:S:1:pos:R:3 comment="Np2Si4NiPt3, relaxed, DFT GGA-PBE" total_magnetization_mub_per_fu=7.605 spacegroup="No. 115" e_form_raw_ev_per_atom=-0.696 pbc="T T T"
Si 2.082 0.000 6.187
Pt 0.000 0.000 4.922
Pt 2.082 0.000 8.603
Np 2.082 0.000 2.494
Np 0.000 2.082 7.350
Si 0.000 2.082 3.657
Pt 0.000 2.082 1.241
Si 0.000 0.000 0.000
Ni 2.082 2.082 4.922
Si 2.082 2.082 0.000



[11]
5
Lattice="3.992 0.000 0.000 0.000 3.992 0.000 -1.996 -1.996 5.064" Properties=species:S:1:pos:R:3 comment="NpSi2NiPt, relaxed, DFT GGA-PBE" total_magnetization_mub_per_fu=3.820 spacegroup="No. 119" e_form_raw_ev_per_atom=-0.632 pbc="T T T"
Pt 0.000 1.996 2.532
Np 0.000 0.000 0.000
Si 1.996 1.996 1.178
Si 0.000 0.000 3.886
Ni 1.996 0.000 2.532



[12]
18
Lattice="8.079 0.072 0.051 4.053 6.989 0.051 4.053 2.359 6.579" Properties=species:S:1:pos:R:3 comment="Sm2NpNi3Pt12, relaxed, DFT GGA-PBE" total_magnetization_mub_per_fu=0.071 spacegroup="No. 166" formation_energy_ev_per_fu=-1.6 pbc="T T T"
Pt 10.239 8.117 5.757
Pt 12.115 7.052 2.716
Sm 9.900 5.763 4.087
Pt 8.162 4.751 0.903
Pt 4.069 2.369 3.966
Pt 10.047 3.519 2.496
Pt 8.022 4.669 5.779
Pt 8.162 2.422 4.185
Np 0.000 0.000 0.000
Ni 4.039 0.036 0.026
Pt 12.115 4.894 5.757
Pt 8.022 6.998 2.496
Ni 2.026 3.494 0.026
Ni 2.026 1.179 3.289
Pt 6.137 5.901 4.185
Pt 4.069 4.526 0.924
Sm 6.284 3.658 2.594
Pt 5.945 1.303 0.924